No. 1
Material: BeSb
Method: DFT, PBE
State: optimized geometry

a = 3.3479 Å, b = 3.3479 Å, c = 23.8093 Å
α = 90.00°, β = 90.00°, γ = 120.00°
With the nearest neighbours (Å) after each atom.
Sites, in units of the cell vectors:
Be: 0.0000 0.0000 0.1413  3 Be 2.28
Be: 0.0000 0.0000 0.8587  3 Be 2.28
Be: 0.3333 0.6667 0.5253  3 Be 2.28
Be: 0.3333 0.6667 0.8080  3 Be 2.28
Be: 0.6667 0.3333 0.1920  3 Be 2.28
Be: 0.6667 0.3333 0.4747  3 Be 2.28
Sb: 0.0000 0.0000 0.4003  3 Be 2.62
Sb: 0.0000 0.0000 0.5997  3 Be 2.62
Sb: 0.3333 0.6667 0.0670  3 Be 2.62
Sb: 0.3333 0.6667 0.2663  3 Be 2.62
Sb: 0.6667 0.3333 0.7337  3 Be 2.62
Sb: 0.6667 0.3333 0.9330  3 Be 2.62

DFT total energy in eV/atom: -3.32
ΔE_f (raw) in meV/atom: 600
Magnetic moment in μB/atom: 0.0000
Offset from the most stable computed form in meV/atom: 430.9

=====

No. 2
Material: BeSb3
Method: DFT, PBE
State: optimized geometry

a = 5.0202 Å, b = 5.0202 Å, c = 7.5134 Å
α = 90.00°, β = 90.00°, γ = 90.00°
With the nearest neighbours (Å) after each atom.
Sites, in units of the cell vectors:
Be: 0.0000 0.0000 0.0000  8 Sb 3.14
Be: 0.5000 0.5000 0.5000  8 Sb 3.14
Sb: 0.0000 0.0000 0.5000  8 Sb 3.14
Sb: 0.0000 0.5000 0.2500  4 Be 3.14, 4 Sb 3.14
Sb: 0.0000 0.5000 0.7500  4 Sb 3.14, 4 Be 3.14
Sb: 0.5000 0.0000 0.2500  4 Be 3.14, 4 Sb 3.14
Sb: 0.5000 0.0000 0.7500  4 Sb 3.14, 4 Be 3.14
Sb: 0.5000 0.5000 0.0000  8 Sb 3.14

DFT total energy in eV/atom: -3.42
ΔE_f (raw) in meV/atom: 605
Magnetic moment in μB/atom: 0.0000
Offset from the most stable computed form in meV/atom: 348.2

=====

No. 3
Material: Be5Sb
Method: DFT, PBE
State: optimized geometry

a = 3.3360 Å, b = 2.9622 Å, c = 14.6016 Å
α = 90.00°, β = 90.00°, γ = 90.00°
With the nearest neighbours (Å) after each atom.
Sites, in units of the cell vectors:
Be: 0.0000 0.0000 0.0000  8 Be 2.16-2.35
Be: 0.0000 0.0000 0.2209  4 Be 2.22-2.29
Be: 0.0000 0.0000 0.6078  10 Be 2.16-2.23
Be: 0.0000 0.5000 0.1078  10 Be 2.16-2.23
Be: 0.0000 0.5000 0.5000  8 Be 2.16-2.35
Be: 0.0000 0.5000 0.7209  4 Be 2.22-2.29
Be: 0.5000 0.0000 0.1137  10 Be 2.16-2.35
Be: 0.5000 0.0000 0.5064  8 Be 2.16-2.23
Be: 0.5000 0.5000 0.0064  8 Be 2.16-2.23
Be: 0.5000 0.5000 0.6137  10 Be 2.16-2.35
Sb: 0.5000 0.0000 0.8486  8 Be 2.74-2.91, 2 Sb 2.96
Sb: 0.5000 0.5000 0.3486  8 Be 2.74-2.91, 2 Sb 2.96

DFT total energy in eV/atom: -3.38
ΔE_f (raw) in meV/atom: 415
Magnetic moment in μB/atom: 0.0000
Offset from the most stable computed form in meV/atom: 154.2

=====

No. 4
Material: BeSb
Method: DFT, PBE
State: optimized geometry

a = 5.6344 Å, b = 5.6344 Å, c = 5.6344 Å
α = 90.00°, β = 90.00°, γ = 90.00°
With the nearest neighbours (Å) after each atom.
Sites, in units of the cell vectors:
Be: 0.0000 0.0000 0.0000  4 Sb 2.44
Be: 0.0000 0.5000 0.5000  4 Sb 2.44
Be: 0.5000 0.0000 0.5000  4 Sb 2.44
Be: 0.5000 0.5000 0.0000  4 Sb 2.44
Sb: 0.2500 0.2500 0.7500  4 Be 2.44
Sb: 0.2500 0.7500 0.2500  4 Be 2.44
Sb: 0.7500 0.2500 0.2500  4 Be 2.44
Sb: 0.7500 0.7500 0.7500  4 Be 2.44

DFT total energy in eV/atom: -3.60
ΔE_f (raw) in meV/atom: 321
Magnetic moment in μB/atom: 0.0000
Offset from the most stable computed form in meV/atom: 152.7

=====

No. 5
Material: BeSb3
Method: DFT, PBE
State: optimized geometry

a = 9.8733 Å, b = 9.8733 Å, c = 3.3903 Å
α = 90.00°, β = 90.00°, γ = 120.00°
With the nearest neighbours (Å) after each atom.
Sites, in units of the cell vectors:
Be: 0.0000 0.0000 0.0000  6 Sb 3.07, 2 Be 3.39
Be: 0.3333 0.6667 0.6667  6 Sb 3.07, 2 Be 3.39
Be: 0.6667 0.3333 0.3333  6 Sb 3.07, 2 Be 3.39
Sb: 0.0000 0.5000 0.0000  6 Sb 3.07-3.39, 2 Be 3.07
Sb: 0.1667 0.3333 0.3333  6 Sb 3.07-3.39, 2 Be 3.07
Sb: 0.1667 0.8333 0.3333  2 Be 3.07, 6 Sb 3.07-3.39
Sb: 0.3333 0.1667 0.6667  6 Sb 3.07-3.39, 2 Be 3.07
Sb: 0.5000 0.0000 0.0000  6 Sb 3.07-3.39, 2 Be 3.07
Sb: 0.5000 0.5000 0.0000  6 Sb 3.07-3.39, 2 Be 3.07
Sb: 0.6667 0.8333 0.3333  6 Sb 3.07-3.39, 2 Be 3.07
Sb: 0.8333 0.1667 0.6667  2 Be 3.07, 6 Sb 3.07-3.39
Sb: 0.8333 0.6667 0.6667  6 Sb 3.07-3.39, 2 Be 3.07

DFT total energy in eV/atom: -3.41
ΔE_f (raw) in meV/atom: 611
Magnetic moment in μB/atom: 0.0000
Offset from the most stable computed form in meV/atom: 354.0

=====

No. 6
Material: BeSb
Method: DFT, PBE
State: optimized geometry

a = 5.2182 Å, b = 6.9559 Å, c = 4.2360 Å
α = 90.00°, β = 90.00°, γ = 90.00°
With the nearest neighbours (Å) after each atom.
Sites, in units of the cell vectors:
Be: 0.0000 0.0804 0.2500  2 Be 2.40, 3 Sb 2.55
Be: 0.0000 0.9196 0.7500  2 Be 2.40, 3 Sb 2.55
Be: 0.5000 0.4196 0.7500  2 Be 2.40, 3 Sb 2.55
Be: 0.5000 0.5804 0.2500  2 Be 2.40, 3 Sb 2.55
Sb: 0.0000 0.2857 0.7500  5 Be 2.55-2.77
Sb: 0.0000 0.7143 0.2500  5 Be 2.55-2.77
Sb: 0.5000 0.2143 0.2500  5 Be 2.55-2.77
Sb: 0.5000 0.7857 0.7500  5 Be 2.55-2.77

DFT total energy in eV/atom: -3.67
ΔE_f (raw) in meV/atom: 256
Magnetic moment in μB/atom: 0.0000
Offset from the most stable computed form in meV/atom: 87.2

=====

No. 7
Material: BeSb
Method: DFT, PBE
State: optimized geometry

a = 4.0415 Å, b = 5.5854 Å, c = 7.7060 Å
α = 90.00°, β = 90.00°, γ = 90.00°
With the nearest neighbours (Å) after each atom.
Sites, in units of the cell vectors:
Be: 0.0000 0.2500 0.0662  2 Be 2.26, 3 Sb 2.49-2.50
Be: 0.0000 0.7500 0.9338  2 Be 2.26, 3 Sb 2.49-2.50
Be: 0.5000 0.2500 0.9338  2 Be 2.26, 3 Sb 2.49-2.50
Be: 0.5000 0.7500 0.0662  2 Be 2.26, 3 Sb 2.49-2.50
Sb: 0.0000 0.2500 0.7437  3 Be 2.49-2.50
Sb: 0.0000 0.7500 0.2563  3 Be 2.49-2.50
Sb: 0.5000 0.2500 0.2563  3 Be 2.49-2.50
Sb: 0.5000 0.7500 0.7437  3 Be 2.49-2.50

DFT total energy in eV/atom: -3.62
ΔE_f (raw) in meV/atom: 305
Magnetic moment in μB/atom: 0.0000
Offset from the most stable computed form in meV/atom: 135.9

=====

No. 8
Material: BeSb
Method: DFT, PBE
State: optimized geometry

a = 6.1582 Å, b = 3.7238 Å, c = 8.3080 Å
α = 90.00°, β = 101.36°, γ = 90.00°
With the nearest neighbours (Å) after each atom.
Sites, in units of the cell vectors:
Be: 0.1567 0.0000 0.4401  3 Be 2.31-2.34, 4 Sb 2.44-2.58
Be: 0.3433 0.5000 0.5599  3 Be 2.31-2.34, 4 Sb 2.44-2.58
Be: 0.6567 0.5000 0.4401  3 Be 2.31-2.34, 4 Sb 2.44-2.58
Be: 0.8433 0.0000 0.5599  3 Be 2.31-2.34, 4 Sb 2.44-2.58
Sb: 0.2355 0.0000 0.7393  4 Be 2.44-2.58
Sb: 0.2645 0.5000 0.2607  4 Be 2.44-2.58
Sb: 0.7355 0.5000 0.7393  4 Be 2.44-2.58
Sb: 0.7645 0.0000 0.2607  4 Be 2.44-2.58

DFT total energy in eV/atom: -3.71
ΔE_f (raw) in meV/atom: 214
Magnetic moment in μB/atom: 0.0000
Offset from the most stable computed form in meV/atom: 45.4

=====

No. 9
Material: BeSb
Method: DFT, PBE
State: optimized geometry

a = 6.7978 Å, b = 6.7978 Å, c = 6.7978 Å
α = 90.00°, β = 90.00°, γ = 90.00°
With the nearest neighbours (Å) after each atom.
Sites, in units of the cell vectors:
Be: 0.1250 0.1250 0.1250  4 Sb 2.94, 4 Be 2.94
Be: 0.1250 0.6250 0.6250  4 Sb 2.94, 4 Be 2.94
Be: 0.3750 0.3750 0.8750  4 Sb 2.94, 4 Be 2.94
Be: 0.3750 0.8750 0.3750  4 Sb 2.94, 4 Be 2.94
Be: 0.6250 0.1250 0.6250  4 Sb 2.94, 4 Be 2.94
Be: 0.6250 0.6250 0.1250  4 Sb 2.94, 4 Be 2.94
Be: 0.8750 0.3750 0.3750  4 Sb 2.94, 4 Be 2.94
Be: 0.8750 0.8750 0.8750  4 Be 2.94, 4 Sb 2.94
Sb: 0.1250 0.1250 0.6250  4 Sb 2.94, 4 Be 2.94
Sb: 0.1250 0.6250 0.1250  4 Sb 2.94, 4 Be 2.94
Sb: 0.3750 0.3750 0.3750  4 Sb 2.94, 4 Be 2.94
Sb: 0.3750 0.8750 0.8750  4 Be 2.94, 4 Sb 2.94
Sb: 0.6250 0.1250 0.1250  4 Sb 2.94, 4 Be 2.94
Sb: 0.6250 0.6250 0.6250  4 Be 2.94, 4 Sb 2.94
Sb: 0.8750 0.3750 0.8750  4 Be 2.94, 4 Sb 2.94
Sb: 0.8750 0.8750 0.3750  4 Be 2.94, 4 Sb 2.94

DFT total energy in eV/atom: -2.99
ΔE_f (raw) in meV/atom: 936
Magnetic moment in μB/atom: 0.0000
Offset from the most stable computed form in meV/atom: 767.3

=====

No. 10
Material: Be2Sb
Method: DFT, PBE
State: optimized geometry

a = 3.7655 Å, b = 3.7655 Å, c = 3.5691 Å
α = 90.00°, β = 90.00°, γ = 120.00°
With the nearest neighbours (Å) after each atom.
Sites, in units of the cell vectors:
Be: 0.3333 0.6667 0.0000  3 Be 2.17
Be: 0.6667 0.3333 0.0000  3 Be 2.17
Sb: 0.0000 0.0000 0.5000  12 Be 2.81

DFT total energy in eV/atom: -3.36
ΔE_f (raw) in meV/atom: 497
Magnetic moment in μB/atom: 0.0000
Offset from the most stable computed form in meV/atom: 299.9

=====

No. 11
Material: Be2Sb
Method: DFT, PBE
State: optimized geometry

a = 3.0028 Å, b = 3.0028 Å, c = 10.4852 Å
α = 90.00°, β = 90.00°, γ = 90.00°
With the nearest neighbours (Å) after each atom.
Sites, in units of the cell vectors:
Be: 0.0000 0.0000 0.2253  4 Be 2.19
Be: 0.0000 0.0000 0.7747  4 Be 2.19
Be: 0.5000 0.5000 0.2747  4 Be 2.19
Be: 0.5000 0.5000 0.7253  4 Be 2.19
Sb: 0.0000 0.0000 0.5000  10 Be 2.88-3.18, 4 Sb 3.00
Sb: 0.5000 0.5000 0.0000  10 Be 2.88-3.18, 4 Sb 3.00

DFT total energy in eV/atom: -3.19
ΔE_f (raw) in meV/atom: 671
Magnetic moment in μB/atom: 0.0000
Offset from the most stable computed form in meV/atom: 473.9

=====

No. 12
Material: BeSb3
Method: DFT, PBE
State: optimized geometry

a = 3.2403 Å, b = 3.2403 Å, c = 8.9660 Å
α = 90.00°, β = 90.00°, γ = 90.00°
With the nearest neighbours (Å) after each atom.
Sites, in units of the cell vectors:
Be: 0.0000 0.0000 0.0000  8 Sb 2.79
Sb: 0.0000 0.0000 0.5000  4 Sb 3.24
Sb: 0.5000 0.5000 0.1767  4 Be 2.79
Sb: 0.5000 0.5000 0.8233  4 Be 2.79

DFT total energy in eV/atom: -3.62
ΔE_f (raw) in meV/atom: 400
Magnetic moment in μB/atom: 0.0000
Offset from the most stable computed form in meV/atom: 142.9